Here is crystalline TbNd3Ni at its relaxed geometry from Alexandria via LeMat-Bulk. Energies are from PBE-GGA.

Cell lengths 3.730, 6.444, 12.900 Å; angles 87.57, 81.69, 73.18 degrees
Fractional positions:
Nd 0.769 0.704 0.758
Nd 0.776 0.055 0.392
Nd 0.988 0.108 0.916
Nd 0.438 0.612 0.511
Nd 0.446 0.954 0.153
Nd 0.099 0.166 0.635
Tb 0.116 0.499 0.268
Tb 0.223 0.557 0.998
Ni 0.766 0.344 0.125
Ni 0.438 0.337 0.786

Properties
E above lowest polymorph (eV/atom): 0.000
Formation enthalpy at 0 K (kcal/mol of atoms): -3.05